#1
# LaZr2Mn2

A relaxed structure of LaZr2Mn2 (PBE, the Alexandria database).

Cell lengths 7.845, 7.845, 3.499 Å; angles 90.00, 90.00, 90.00 degrees
Fractional coordinates of all 10 atoms:
1 La 0.000 0.000 0.000
2 La 0.500 0.500 0.000
3 Zr 0.157 0.343 0.500
4 Zr 0.343 0.843 0.500
5 Zr 0.657 0.157 0.500
6 Zr 0.843 0.657 0.500
7 Mn 0.120 0.620 0.000
8 Mn 0.380 0.120 0.000
9 Mn 0.620 0.880 0.000
10 Mn 0.880 0.380 0.000


#2
# LaZr2Mn2

A relaxed structure of LaZr2Mn2 (PBE, the Alexandria database).

Cell lengths 6.439, 6.439, 6.439 Å; angles 140.24, 140.24, 57.49 degrees
Fractional coordinates of all 5 atoms:
1 La 0.000 0.000 0.000
2 Zr 0.361 0.361 0.000
3 Zr 0.639 0.639 0.000
4 Mn 0.250 0.750 0.500
5 Mn 0.750 0.250 0.500


Which of them is the most stable, and which is the least stable? #1 and #2, in that order.


#1
# LaMo3

A relaxed structure of LaMo3 (PBE, the Alexandria database).

Cell lengths 6.831, 6.831, 4.443 Å; angles 90.00, 90.00, 120.00 degrees
Fractional coordinates of all 8 atoms:
1 La 0.333 0.667 0.250
2 La 0.667 0.333 0.750
3 Mo 0.129 0.258 0.750
4 Mo 0.129 0.871 0.750
5 Mo 0.258 0.129 0.250
6 Mo 0.742 0.871 0.750
7 Mo 0.871 0.129 0.250
8 Mo 0.871 0.742 0.250


#2
# LaMo3

A relaxed structure of LaMo3 (PBE, the Alexandria database).

Cell lengths 4.770, 4.770, 3.258 Å; angles 90.00, 90.00, 90.00 degrees
Fractional coordinates of all 4 atoms:
1 La 0.000 0.000 0.000
2 Mo 0.000 0.500 0.500
3 Mo 0.500 0.000 0.500
4 Mo 0.500 0.500 0.000


Which of them is the most stable, and which is the least stable? #1 and #2, in that order.